1.
# LaTb3Rh8 | Alexandria | PBE | optimized geometry
data_LaTb3Rh8
_space_group_name_H-M_alt 'P 3 m 1'
_space_group_IT_number 156
_space_group_name_Hall 'P 3 -2"'
_cell_length_a 5.3687
_cell_length_b 5.3687
_cell_length_c 8.8077
_cell_angle_alpha 90.00
_cell_angle_beta 90.00
_cell_angle_gamma 120.00
loop_
_atom_site_label
_atom_site_type_symbol
_atom_site_fract_x
_atom_site_fract_y
_atom_site_fract_z
La1 La 0.0000 0.0000 0.0000
Tb1 Tb 0.0000 0.0000 0.3652
Tb2 Tb 0.6667 0.3333 0.4975
Tb3 Tb 0.6667 0.3333 0.8622
Rh1 Rh 0.1651 0.3301 0.6782
Rh2 Rh 0.3333 0.6667 0.4316
Rh3 Rh 0.3333 0.6667 0.9301
Rh4 Rh 0.5019 0.0039 0.1852
# Energy of formation   -793 kJ/mol of formula units
# Calculated density   10.9 Mg/m³


2.
# Rb2SrBCl6 | Alexandria | PBE | optimized geometry
data_Rb2SrBCl6
_space_group_name_H-M_alt 'F m -3 m'
_space_group_IT_number 225
_space_group_name_Hall '-F 4 2 3'
_cell_length_a 10.398
_cell_length_b 10.398
_cell_length_c 10.398
_cell_angle_alpha 90.00
_cell_angle_beta 90.00
_cell_angle_gamma 90.00
loop_
_atom_site_label
_atom_site_type_symbol
_atom_site_fract_x
_atom_site_fract_y
_atom_site_fract_z
Rb1 Rb 0.250 0.250 0.250
Sr1 Sr 0.000 0.000 0.000
B1 B 0.000 0.000 0.500
Cl1 Cl 0.000 0.000 0.275
# Formation energy (no corrections)   -1.303 eV per atom
# Calculated density   2.8 Mg/m³


| no. | energy (eV for the cell shown) | DOS at the Fermi energy (states/eV/atom) | volume (Å³/atom) |
| --- | --- | --- | --- |
| 1 | -85.85 | 0.663 | 18.32 |
| 2 | -137.61 | 0.026 | 28.11 |